[1]
RhBr2Cl after structural relaxation, computed with PBE-GGA.

Output
Raw formation energy, eV per formula unit: 3.013

a b c (Å): 6.973 6.973 6.973
angles (deg): 90.00 90.00 90.00
Space group F-43m (No. 216)
Inequivalent atoms, fractional coordinates:
Rh 0.000 0.000 0.000 x4
Br 0.000 0.000 0.500 x4
Br 0.250 0.250 0.750 x4
Cl 0.250 0.250 0.250 x4

=====

[2]
Rh2BrCl after structural relaxation, computed with PBE-GGA.

Output
Raw formation energy, eV per formula unit: 0.195

a b c (Å): 16.284 3.527 3.075
angles (deg): 90.00 91.02 90.00
Space group Cm (No. 8)
Inequivalent atoms, fractional coordinates:
Rh 0.000 0.000 0.000 x2
Rh 0.082 0.500 0.508 x2
Br 0.186 0.000 0.518 x2
Cl 0.406 0.000 0.992 x2

=====

[3]
RhBrCl2 after structural relaxation, computed with PBE-GGA.

Output
Raw formation energy, eV per formula unit: -0.598

a b c (Å): 3.6873 3.6873 22.1754
angles (deg): 90.00 90.00 120.00
Space group R3m (No. 160, hexagonal axes)
Inequivalent atoms, fractional coordinates:
Rh 0.0000 0.0000 0.0000 x3
Br 0.0000 0.0000 0.2725 x3
Cl 0.0000 0.0000 0.5162 x3
Cl 0.0000 0.0000 0.7236 x3

=====

[4]
RhBr3Cl after structural relaxation, computed with PBE-GGA.

Output
Raw formation energy, eV per formula unit: 4.845

a b c (Å): 5.279 5.279 5.279
angles (deg): 90.00 90.00 90.00
Space group Pm-3m (No. 221)
Inequivalent atoms, fractional coordinates:
Rh 0.000 0.000 0.000 x1
Br 0.000 0.500 0.500 x3
Cl 0.500 0.500 0.500 x1

=====

[5]
Rh2BrCl after structural relaxation, computed with PBE-GGA.

Output
Raw formation energy, eV per formula unit: 1.809

a b c (Å): 3.2320 3.2320 22.5772
angles (deg): 90.00 90.00 120.00
Space group R-3m (No. 166, hexagonal axes)
Inequivalent atoms, fractional coordinates:
Rh 0.0000 0.0000 0.2500 x6
Br 0.0000 0.0000 0.0000 x3
Cl 0.0000 0.0000 0.5000 x3

=====

[6]
RhBrCl2 after structural relaxation, computed with PBE-GGA.

Output
Raw formation energy, eV per formula unit: 0.922

a b c (Å): 3.108 3.108 10.441
angles (deg): 90.00 90.00 90.00
Space group P4/mmm (No. 123)
Inequivalent atoms, fractional coordinates:
Rh 0.000 0.000 0.000 x1
Br 0.000 0.000 0.500 x1
Cl 0.500 0.500 0.151 x2

=====

[7]
RhBr2Cl after structural relaxation, computed with PBE-GGA.

Output
Raw formation energy, eV per formula unit: 0.078

a b c (Å): 3.210 5.203 12.633
angles (deg): 90.00 90.00 90.00
Space group Imm2 (No. 44)
Inequivalent atoms, fractional coordinates:
Rh 0.000 0.000 0.000 x2
Br 0.000 0.000 0.499 x2
Br 0.000 0.500 0.654 x2
Cl 0.000 0.500 0.359 x2

=====

[8]
Rh2BrCl after structural relaxation, computed with PBE-GGA.

Output
Raw formation energy, eV per formula unit: 2.024

a b c (Å): 3.034 5.730 8.191
angles (deg): 90.00 90.00 90.00
Space group Cmmm (No. 65)
Inequivalent atoms, fractional coordinates:
Rh 0.000 0.000 0.244 x4
Br 0.000 0.500 0.500 x2
Cl 0.000 0.500 0.000 x2

=====

Ordered total energy results: -2.383, -4.507, -3.329, -1.874, -4.103, -2.949, -3.117, -4.050; unit eV/atom.